Record 1
First-principles (PBEsol) data for a geometry-optimized Mg2Si2Hg structure, as listed in Alexandria via LeMat-Bulk.

a b c (Å): 4.387 4.387 6.205
angles (deg): 110.70 110.70 90.00
Atoms (fractional coordinates):
Si1 0.605 0.605 0.211
Si2 0.395 0.395 0.789
Mg1 0.750 0.250 0.500
Mg2 0.250 0.750 0.500
Hg1 0.000 0.000 0.000

Summary:
**Space-group type**: No. 139
**Uncorrected formation energy**: 140.9 meV per atom

=====

Record 2
First-principles (PBEsol) data for a geometry-optimized Cs2NaAl3F12 structure, as listed in Alexandria via LeMat-Bulk.

a b c (Å): 7.050 7.050 7.280
angles (deg): 61.04 61.04 60.00
Atoms (fractional coordinates):
F1 0.921 0.297 0.485
F2 0.088 0.088 0.208
F3 0.912 0.384 0.792
F4 0.384 0.912 0.792
F5 0.088 0.616 0.208
F6 0.912 0.912 0.792
F7 0.297 0.921 0.485
F8 0.079 0.703 0.515
F9 0.703 0.703 0.515
F10 0.703 0.079 0.515
F11 0.297 0.297 0.485
F12 0.616 0.088 0.208
Cs1 0.378 0.378 0.866
Cs2 0.622 0.622 0.134
Na1 0.000 0.000 0.000
Al1 0.500 0.000 0.500
Al2 0.000 0.500 0.500
Al3 0.000 0.000 0.500

Summary:
**Space-group type**: No. 166
**Uncorrected formation energy**: -3401.8 meV per atom

=====

Record 3
First-principles (PBEsol) data for a geometry-optimized Tm3Ge3Ru2 structure, as listed in Alexandria via LeMat-Bulk.

a b c (Å): 4.191 5.679 13.603
angles (deg): 90.00 90.00 111.65
Atoms (fractional coordinates):
Tm1 0.077 0.155 0.113
Tm2 0.923 0.845 0.613
Tm3 0.077 0.155 0.387
Tm4 0.923 0.845 0.887
Tm5 0.648 0.295 0.750
Tm6 0.352 0.705 0.250
Ge1 0.662 0.324 0.250
Ge2 0.386 0.772 0.041
Ge3 0.338 0.676 0.750
Ge4 0.386 0.772 0.459
Ge5 0.614 0.228 0.959
Ge6 0.614 0.228 0.541
Ru1 0.787 0.573 0.083
Ru2 0.213 0.427 0.583
Ru3 0.213 0.427 0.917
Ru4 0.787 0.573 0.417

Summary:
**Energy relative to the elements**: -811 meV/atom
**Space-group type**: No. 63

=====

Record 4
First-principles (PBEsol) data for a geometry-optimized Sr3GeW structure, as listed in Alexandria via LeMat-Bulk.

a b c (Å): 5.624 5.624 5.624
angles (deg): 90.00 90.00 90.00
Atoms (fractional coordinates):
Sr1 0.000 0.000 0.500
Sr2 0.000 0.500 0.000
Sr3 0.500 0.000 0.000
W1 0.000 0.000 0.000
Ge1 0.500 0.500 0.500

Summary:
**Energy relative to the elements**: 1146 meV/atom
**Space-group type**: No. 221
**Excess energy over the best structure of this formula in the dataset**: 92.1 meV/atom